A relaxed TaZn2Te crystal, computed with GGA-PBE.

Computed properties:
The density of states at the Fermi level is 0.83 states/eV per atom. Its space group is R-3m (166). As for the total energy: -16.26 eV for the cell shown. Its raw formation energy is 0.321 eV per atom.

Cell lengths 9.602, 9.602, 9.602 Å; angles 18.66, 18.66, 18.66 degrees
Element x y z (fractional)
Ta: 0.000 0.000 0.000
Zn: 0.258 0.258 0.258
Zn: 0.742 0.742 0.742
Te: 0.500 0.500 0.500